DFT (PBE+U) results for a relaxed structure of WSO3.

Structure (POSCAR):
```
WSO3
1.0
3.949 0.000 0.000
0.000 3.949 0.000
0.000 0.000 3.949
W S O
1 1 3
direct
0.000 0.000 0.000
0.500 0.500 0.500
0.000 0.000 0.500
0.000 0.500 0.000
0.500 0.000 0.000
```

Values from the calculation:
Volume in A^3/atom: 12.313
E_tot in eV/atom: -5.990
M_tot in μB/f.u.: 2.7

DFT (PBE+U) results for a relaxed structure of WS2O.

Structure (POSCAR):
```
WS2O
1.0
1.648 0.952 6.743
-1.648 0.952 6.743
0.000 -1.903 6.743
W S O
1 2 1
direct
0.000 0.000 0.000
0.410 0.410 0.410
0.590 0.590 0.590
0.500 0.500 0.500
```

Values from the calculation:
Volume in A^3/atom: 15.865
E_tot in eV/atom: -5.035
M_tot in μB/f.u.: 0.0

DFT (PBE+U) results for a relaxed structure of WSO.

Structure (POSCAR):
```
WSO
1.0
6.747 0.000 0.000
0.000 5.804 0.000
-1.587 0.000 5.921
W S O
4 4 4
direct
0.092 0.167 0.402
0.092 0.333 0.902
0.908 0.667 0.098
0.908 0.833 0.598
0.196 0.730 0.929
0.196 0.770 0.429
0.804 0.230 0.571
0.804 0.270 0.071
0.260 0.194 0.168
0.260 0.306 0.668
0.740 0.694 0.332
0.740 0.806 0.832
```

Values from the calculation:
Volume in A^3/atom: 19.323
E_tot in eV/atom: -6.095
M_tot in μB/f.u.: 0.0

DFT (PBE+U) results for a relaxed structure of WS2O.

Structure (POSCAR):
```
WS2O
1.0
-2.624 2.624 5.339
2.624 -2.624 5.339
2.624 2.624 -5.339
W S O
2 4 2
direct
0.000 0.000 0.000
0.750 0.250 0.500
0.132 0.625 0.007
0.375 0.382 0.507
0.618 0.125 0.993
0.875 0.868 0.493
0.250 0.750 0.500
0.500 0.500 0.000
```

Values from the calculation:
Volume in A^3/atom: 18.384
E_tot in eV/atom: -4.504
M_tot in μB/f.u.: 0.0

DFT (PBE+U) results for a relaxed structure of WSO3.

Structure (POSCAR):
```
WSO3
1.0
3.818 0.000 0.000
0.000 3.818 0.000
0.000 0.000 3.818
W S O
1 1 3
direct
0.000 0.000 0.000
0.500 0.500 0.500
0.000 0.500 0.500
0.500 0.000 0.500
0.500 0.500 0.000
```

Values from the calculation:
Volume in A^3/atom: 11.128
E_tot in eV/atom: -4.893
M_tot in μB/f.u.: 3.8

DFT (PBE+U) results for a relaxed structure of WSO6.

Structure (POSCAR):
```
WSO6
1.0
2.271 -4.803 0.000
2.271 4.803 0.000
-1.071 0.000 4.408
W S O
1 1 6
direct
0.000 0.000 0.000
0.500 0.500 0.500
0.169 0.413 0.285
0.260 0.260 0.731
0.413 0.169 0.285
0.587 0.831 0.715
0.740 0.740 0.269
0.831 0.587 0.715
```

Values from the calculation:
Volume in A^3/atom: 12.021
E_tot in eV/atom: -6.115
M_tot in μB/f.u.: 0.0

DFT (PBE+U) results for a relaxed structure of ZnW2SO.

Structure (POSCAR):
```
ZnW2SO
1.0
4.076 0.000 0.000
0.000 4.076 0.000
0.000 0.000 5.477
Zn W S O
1 2 1 1
direct
0.000 0.000 0.000
0.000 0.500 0.500
0.500 0.000 0.500
0.500 0.500 0.000
0.500 0.500 0.500
```

Values from the calculation:
Volume in A^3/atom: 18.203
E_tot in eV/atom: -4.338
M_tot in μB/f.u.: 3.4